Here is a geometry-optimized Cr2FeO4 structure from Alexandria. Energies are from PBE with a Hubbard U.

Geometry as POSCAR:
```
Cr2FeO4
1.0
-1.094 -0.189 -2.822
-7.043 -5.239 3.082
-5.892 8.912 1.686
Cr Fe O
8 4 16
Direct
0.250 0.594 0.405
0.250 0.049 0.618
0.750 0.406 0.595
0.750 0.451 0.118
0.250 0.094 0.095
0.250 0.549 0.882
0.750 0.951 0.382
0.750 0.906 0.905
0.750 0.248 0.829
0.750 0.748 0.671
0.250 0.752 0.171
0.250 0.252 0.329
0.250 0.311 0.155
0.750 0.111 0.969
0.750 0.689 0.845
0.250 0.582 0.066
0.250 0.811 0.345
0.750 0.560 0.283
0.250 0.082 0.434
0.250 0.940 0.783
0.250 0.440 0.717
0.750 0.189 0.655
0.750 0.418 0.934
0.250 0.389 0.469
0.750 0.060 0.217
0.750 0.918 0.566
0.250 0.889 0.031
0.750 0.611 0.531
```

Summary:
total energy	-7.56	eV/atom
relative energy among the computed polymorphs	82	meV per atom
density of states at the Fermi level	0.00	states/eV/f.u.
total moment	1.43	μB/atom
calculated density	4.872	g/cm3